# PBE Pr3Al11, relaxed
data_Pr3Al11
_chemical_formula_sum 'Pr6 Al22'
_symmetry_space_group_name_H-M 'I m m m'
_symmetry_Int_Tables_number 71
_symmetry_space_group_name_Hall '-I 2 2'
_cell_length_a 4.398
_cell_length_b 10.063
_cell_length_c 13.081
_cell_angle_alpha 90.00
_cell_angle_beta 90.00
_cell_angle_gamma 90.00
loop_
_atom_site_label
_atom_site_type_symbol
_atom_site_fract_x
_atom_site_fract_y
_atom_site_fract_z
_atom_site_occupancy
Pr1 Pr 0.000 0.000 0.000 1
Pr2 Pr 0.000 0.000 0.318 1
Al1 Al 0.000 0.215 0.500 1
Al2 Al 0.000 0.274 0.137 1
Al3 Al 0.000 0.369 0.334 1
Al4 Al 0.000 0.500 0.000 1
# **Final energy**: -4.339 eV/atom
# **Size of the total moment**: 0.02 μB/cell

# PBE PrAl3, relaxed
data_PrAl3
_chemical_formula_sum 'Pr2 Al6'
_symmetry_space_group_name_H-M 'P 63/m m c'
_symmetry_Int_Tables_number 194
_symmetry_space_group_name_Hall '-P 6c 2c'
_cell_length_a 6.5680
_cell_length_b 6.5680
_cell_length_c 4.6003
_cell_angle_alpha 90.00
_cell_angle_beta 90.00
_cell_angle_gamma 120.00
loop_
_atom_site_label
_atom_site_type_symbol
_atom_site_fract_x
_atom_site_fract_y
_atom_site_fract_z
_atom_site_occupancy
Pr1 Pr 0.3333 0.6667 0.2500 1
Al1 Al 0.1408 0.2817 0.7500 1
# **Final energy**: -4.448 eV/atom
# **Size of the total moment**: 0.01 μB/cell

- Which value of size of the total moment does entry 1 give?
  0.02 μB/cell